CaTbPr2Hg4: optimized geometry, PBE.

Calculated formation energy (kJ per mole of atoms): -49

Cell lengths 5.402, 5.402, 9.327 Å; angles 73.17, 73.17, 60.00 degrees
Fractional coordinates of all 8 atoms:
Tb  0.500  0.500  0.500
Pr  0.252  0.252  0.244
Pr  0.748  0.748  0.756
Hg  0.873  0.873  0.381
Hg  0.127  0.127  0.619
Hg  0.623  0.623  0.131
Hg  0.377  0.377  0.869
Ca  0.000  0.000  0.000


Cd2PPd8: optimized geometry, PBE.

Calculated formation energy (kJ per mole of atoms): -32

Cell lengths 4.596, 5.749, 7.699 Å; angles 111.99, 107.37, 90.00 degrees
Fractional coordinates of all 11 atoms:
Cd  0.812  0.312  0.625
Cd  0.188  0.688  0.375
Pd  0.814  0.814  0.629
Pd  0.186  0.186  0.371
Pd  0.000  0.245  0.000
Pd  0.372  0.615  0.743
Pd  0.628  0.385  0.257
Pd  0.629  0.873  0.257
Pd  0.000  0.755  0.000
Pd  0.371  0.127  0.743
P  0.500  0.000  0.000


Sr2AlCu4Ge3: optimized geometry, PBE.

Calculated formation energy (kJ per mole of atoms): -33

Cell lengths 4.220, 4.220, 10.587 Å; angles 90.00, 90.00, 90.00 degrees
Fractional coordinates of all 10 atoms:
Cu  0.500  0.500  0.000
Cu  0.500  0.000  0.633
Cu  0.000  0.500  0.367
Cu  0.000  0.000  0.000
Al  0.500  0.500  0.500
Sr  0.000  0.500  0.757
Sr  0.500  0.000  0.243
Ge  0.000  0.500  0.126
Ge  0.500  0.000  0.874
Ge  0.000  0.000  0.500


Li12Ca2Mg5: optimized geometry, PBE.

Calculated formation energy (kJ per mole of atoms): -1

Cell lengths 7.699, 7.699, 7.699 Å; angles 82.56, 82.56, 82.56 degrees
Fractional coordinates of all 19 atoms:
Ca  0.337  0.337  0.337
Ca  0.663  0.663  0.663
Li  0.708  0.292  0.000
Li  0.353  0.353  0.851
Li  0.647  0.647  0.149
Li  0.292  0.708  0.000
Li  0.000  0.292  0.708
Li  0.353  0.851  0.353
Li  0.149  0.647  0.647
Li  0.292  0.000  0.708
Li  0.708  0.000  0.292
Li  0.000  0.708  0.292
Li  0.851  0.353  0.353
Li  0.647  0.149  0.647
Mg  0.000  0.500  0.000
Mg  0.500  0.000  0.000
Mg  0.000  0.000  0.500
Mg  0.103  0.103  0.103
Mg  0.897  0.897  0.897


ErUOsRu: optimized geometry, PBE.

Calculated formation energy (kJ per mole of atoms): -18

Cell lengths 4.788, 4.788, 4.788 Å; angles 60.00, 60.00, 60.00 degrees
Fractional coordinates of all 4 atoms:
Ru  0.000  0.000  0.000
Os  0.500  0.500  0.500
U  0.750  0.750  0.750
Er  0.250  0.250  0.250


ZnAg4Os: optimized geometry, PBE.

Calculated formation energy (kJ per mole of atoms): 76

Cell lengths 5.318, 5.318, 5.318 Å; angles 60.00, 60.00, 60.00 degrees
Fractional coordinates of all 6 atoms:
Ag  0.874  0.375  0.375
Ag  0.375  0.375  0.874
Ag  0.375  0.874  0.375
Ag  0.375  0.375  0.375
Os  0.750  0.750  0.750
Zn  0.000  0.000  0.000


SmEuMgZn: optimized geometry, PBE.

Calculated formation energy (kJ per mole of atoms): -13

Cell lengths 5.371, 5.371, 5.371 Å; angles 60.00, 60.00, 60.00 degrees
Fractional coordinates of all 4 atoms:
Zn  0.000  0.000  0.000
Sm  0.250  0.250  0.250
Mg  0.500  0.500  0.500
Eu  0.750  0.750  0.750


Sr3LaC: optimized geometry, PBE.

Calculated formation energy (kJ per mole of atoms): 50
Energy above the most stable polymorph in this dataset (kJ per mole of atoms): 0.0

Cell lengths 5.643, 5.643, 5.643 Å; angles 90.00, 90.00, 90.00 degrees
Fractional coordinates of all 5 atoms:
Sr  0.000  0.500  0.000
Sr  0.500  0.000  0.000
Sr  0.000  0.000  0.500
C  0.000  0.000  0.000
La  0.500  0.500  0.500


Sr3NiHg: optimized geometry, PBE.

Calculated formation energy (kJ per mole of atoms): -9
Energy above the most stable polymorph in this dataset (kJ per mole of atoms): 12.7

Cell lengths 5.739, 5.739, 5.739 Å; angles 90.00, 90.00, 90.00 degrees
Fractional coordinates of all 5 atoms:
Hg  0.500  0.500  0.500
Sr  0.500  0.000  0.000
Sr  0.000  0.000  0.500
Sr  0.000  0.500  0.000
Ni  0.000  0.000  0.000


Cs2K3TlBr6: optimized geometry, PBE.

Raw formation energy (eV/atom): -1.604

Cell lengths 4.885, 9.852, 10.979 Å; angles 103.37, 102.85, 90.00 degrees
Fractional coordinates of all 12 atoms:
Br  0.006  0.753  0.011
Br  0.994  0.247  0.989
Br  0.340  0.402  0.680
Br  0.660  0.598  0.320
Br  0.666  0.065  0.333
Br  0.334  0.935  0.667
Cs  0.166  0.330  0.331
Cs  0.834  0.670  0.669
K  0.500  0.500  0.000
K  0.834  0.164  0.668
K  0.166  0.836  0.332
Tl  0.500  0.000  0.000


OsS2I2: optimized geometry, PBE.

Energy above the most stable polymorph in this dataset (kJ per mole of atoms): 56.0
Raw formation energy (eV/atom): 0.944

Cell lengths 6.123, 6.123, 6.048 Å; angles 59.59, 59.59, 90.00 degrees
Fractional coordinates of all 5 atoms:
S  0.743  0.743  0.513
S  0.257  0.257  0.487
I  0.750  0.250  0.500
I  0.250  0.750  0.500
Os  0.000  0.000  0.000


HgP: optimized geometry, PBE.

Calculated formation energy (kJ per mole of atoms): 20
Energy above the most stable polymorph in this dataset (kJ per mole of atoms): 17.2

Cell lengths 3.040, 3.046, 10.286 Å; angles 90.00, 90.00, 90.00 degrees
Fractional coordinates of all 4 atoms:
Hg  0.000  0.000  0.077
Hg  0.500  0.500  0.756
P  0.000  0.500  0.369
P  0.500  0.000  0.464


no.,calculated total energy (eV per atom)
1,-2.68
2,-4.76
3,-4.07
4,-1.85
5,-9.28
6,-3.20
7,-4.60
8,-3.32
9,-2.32
10,-3.05
11,-3.57
12,-2.65